VASP calculation (GGA-PBE) on ScUS2 after structural relaxation.

## Properties
**Total energy**: -32.21 eV per formula unit
**Energy above the lowest structure with this stoichiometry**: 0.0272 eV/atom

abc: 6.5507 6.5507 6.5507
angles: 131.79 131.79 70.56
Positions (direct):
1 Sc 0.3750 0.6250 0.7500
2 Sc 0.6250 0.3750 0.2500
3 U 0.1250 0.8750 0.2500
4 U 0.8750 0.1250 0.7500
5 S 0.1307 0.3807 0.7500
6 S 0.3807 0.1307 0.2500
7 S 0.6193 0.8693 0.7500
8 S 0.8693 0.6193 0.2500

***

VASP calculation (GGA-PBE) on ScU6S8 after structural relaxation.

## Properties
**Total energy**: -120.98 eV per formula unit
**Energy above the lowest structure with this stoichiometry**: 0.5267 eV/atom

abc: 7.2440 7.2440 7.2440
angles: 93.51 93.51 93.51
Positions (direct):
1 Sc 0.0000 0.0000 0.0000
2 U 0.1705 0.4111 0.5461
3 U 0.4111 0.5461 0.1705
4 U 0.4539 0.8295 0.5889
5 U 0.5461 0.1705 0.4111
6 U 0.5889 0.4539 0.8295
7 U 0.8295 0.5889 0.4539
8 S 0.1530 0.7428 0.3364
9 S 0.2135 0.2135 0.2135
10 S 0.2572 0.6636 0.8470
11 S 0.3364 0.1530 0.7428
12 S 0.6636 0.8470 0.2572
13 S 0.7428 0.3364 0.1530
14 S 0.7865 0.7865 0.7865
15 S 0.8470 0.2572 0.6636

***

VASP calculation (GGA-PBE) on ScUS4 after structural relaxation.

## Properties
**Total energy**: -43.16 eV per formula unit
**Energy above the lowest structure with this stoichiometry**: 0.0000 eV/atom

abc: 7.4289 7.4289 6.5624
angles: 113.69 113.69 30.44
Positions (direct):
1 Sc 0.0000 0.0000 0.0000
2 U 0.5000 0.5000 0.5000
3 S 0.1077 0.1077 0.7661
4 S 0.3959 0.3959 0.7380
5 S 0.6041 0.6041 0.2620
6 S 0.8923 0.8923 0.2339

***

VASP calculation (GGA-PBE) on ScUS2 after structural relaxation.

## Properties
**Total energy**: -32.09 eV per formula unit
**Energy above the lowest structure with this stoichiometry**: 0.0569 eV/atom

abc: 7.0798 7.0798 7.0798
angles: 29.85 29.85 29.85
Positions (direct):
1 Sc 0.0000 0.0000 0.0000
2 U 0.1758 0.1758 0.1758
3 S 0.4142 0.4142 0.4142
4 S 0.5961 0.5961 0.5961

***

VASP calculation (GGA-PBE) on ScUS3 after structural relaxation.

## Properties
**Total energy**: -37.79 eV per formula unit

abc: 6.7147 6.7147 6.6286
angles: 90.00 90.00 120.00
Positions (direct):
1 Sc 0.0000 0.0000 0.0000
2 Sc 0.0000 0.0000 0.5000
3 U 0.3333 0.6667 0.0000
4 U 0.3333 0.6667 0.5000
5 S 0.0436 0.3193 0.2500
6 S 0.0436 0.7243 0.7500
7 S 0.2757 0.3193 0.7500
8 S 0.2757 0.9564 0.2500
9 S 0.6807 0.7243 0.2500
10 S 0.6807 0.9564 0.7500

***

VASP calculation (GGA-PBE) on Sc2US3 after structural relaxation.

## Properties
**Total energy**: -46.50 eV per formula unit

abc: 3.6812 3.6812 19.0939
angles: 90.00 90.00 120.00
Positions (direct):
1 Sc 0.3333 0.6667 0.0839
2 Sc 0.3333 0.6667 0.4161
3 Sc 0.6667 0.3333 0.5839
4 Sc 0.6667 0.3333 0.9161
5 U 0.0000 0.0000 0.2500
6 U 0.0000 0.0000 0.7500
7 S 0.0000 0.0000 0.0000
8 S 0.0000 0.0000 0.5000
9 S 0.3333 0.6667 0.6578
10 S 0.3333 0.6667 0.8422
11 S 0.6667 0.3333 0.1578
12 S 0.6667 0.3333 0.3422

***

VASP calculation (GGA-PBE) on Sc5US6 after structural relaxation.

## Properties
**Total energy**: -88.87 eV per formula unit

abc: 6.4536 6.4536 6.4585
angles: 99.72 99.72 119.90
Positions (direct):
1 Sc 0.0000 0.0000 0.0000
2 Sc 0.1690 0.8310 0.5000
3 Sc 0.3310 0.6690 0.0000
4 Sc 0.6690 0.3310 0.0000
5 Sc 0.8310 0.1690 0.5000
6 U 0.5000 0.5000 0.5000
7 S 0.0742 0.4142 0.2447
8 S 0.2434 0.2434 0.7555
9 S 0.4142 0.0742 0.2447
10 S 0.5858 0.9258 0.7553
11 S 0.7566 0.7566 0.2445
12 S 0.9258 0.5858 0.7553

***

VASP calculation (GGA-PBE) on ScUS after structural relaxation.

## Properties
**Total energy**: -25.07 eV per formula unit

abc: 10.9957 10.9957 10.9957
angles: 18.80 18.80 18.80
Positions (direct):
1 Sc 0.2066 0.2066 0.2066
2 Sc 0.7934 0.7934 0.7934
3 U 0.3556 0.3556 0.3556
4 U 0.6444 0.6444 0.6444
5 S 0.0787 0.0787 0.0787
6 S 0.9213 0.9213 0.9213

***

VASP calculation (GGA-PBE) on ScUS4 after structural relaxation.

## Properties
**Total energy**: -42.57 eV per formula unit
**Energy above the lowest structure with this stoichiometry**: 0.0974 eV/atom

abc: 6.1010 6.1010 3.9673
angles: 90.00 90.00 91.28
Positions (direct):
1 Sc 0.0000 0.0000 0.0000
2 U 0.5000 0.5000 0.5000
3 S 0.1946 0.1946 0.5000
4 S 0.3029 0.6971 0.0000
5 S 0.6971 0.3029 0.0000
6 S 0.8054 0.8054 0.5000

***

VASP calculation (GGA-PBE) on ScUS3 after structural relaxation.

## Properties
**Total energy**: -38.29 eV per formula unit

abc: 6.3694 6.3694 9.1364
angles: 90.00 90.00 146.10
Positions (direct):
1 Sc 0.0000 0.0000 0.0000
2 Sc 0.0000 0.0000 0.5000
3 U 0.2506 0.7494 0.7500
4 U 0.7494 0.2506 0.2500
5 S 0.0852 0.9148 0.2500
6 S 0.3582 0.6418 0.0636
7 S 0.3582 0.6418 0.4364
8 S 0.6418 0.3582 0.5636
9 S 0.6418 0.3582 0.9364
10 S 0.9148 0.0852 0.7500

***

VASP calculation (GGA-PBE) on ScUS2 after structural relaxation.

## Properties
**Total energy**: -32.32 eV per formula unit
**Energy above the lowest structure with this stoichiometry**: 0.0000 eV/atom

abc: 6.7524 6.7524 6.7524
angles: 31.86 31.86 31.86
Positions (direct):
1 Sc 0.0000 0.0000 0.0000
2 U 0.5000 0.5000 0.5000
3 S 0.2563 0.2563 0.2563
4 S 0.7437 0.7437 0.7437

***

VASP calculation (GGA-PBE) on Sc3US6 after structural relaxation.

## Properties
**Total energy**: -72.81 eV per formula unit

abc: 10.6436 3.7409 10.7846
angles: 90.00 109.10 90.00
Positions (direct):
1 Sc 0.0604 0.2500 0.1625
2 Sc 0.1763 0.7500 0.4997
3 Sc 0.3422 0.2500 0.9147
4 Sc 0.6578 0.7500 0.0853
5 Sc 0.8237 0.2500 0.5003
6 Sc 0.9396 0.7500 0.8375
7 U 0.4501 0.2500 0.3031
8 U 0.5499 0.7500 0.6969
9 S 0.0216 0.2500 0.3846
10 S 0.1083 0.2500 0.9401
11 S 0.2343 0.7500 0.2707
12 S 0.3010 0.7500 0.7482
13 S 0.3796 0.2500 0.5352
14 S 0.4178 0.7500 0.0925
15 S 0.5822 0.2500 0.9075
16 S 0.6204 0.7500 0.4648
17 S 0.6990 0.2500 0.2518
18 S 0.7657 0.2500 0.7293
19 S 0.8917 0.7500 0.0599
20 S 0.9784 0.7500 0.6154

***

- Look up the total energy of the fourth one.
  -32.09 eV per formula unit

***

- What is the total energy in the eleventh record?
  -32.32 eV per formula unit